# 1
This record from Alexandria via LeMat-Bulk describes a relaxed Li2AlTeN crystal. The functional is PBE-GGA.

Output
The density of states at the Fermi level comes out at 0.5 states/eV/cell. The density comes out at 4.18 g cm⁻³. For the uncorrected formation energy, the calculation gives -0.685 eV per atom. The magnetic moment comes out at 0.0 Bohr magnetons per cell. As for the crystal system: tetragonal.

a = 4.4092 Å, b = 4.4092 Å, c = 3.7245 Å
α = 90.00°, β = 90.00°, γ = 90.00°
Positions (direct):
Te1 0.5000 0.5000 0.5000
Li1 0.0000 0.5000 0.0000
Li2 0.5000 0.0000 0.0000
Al1 0.0000 0.0000 0.5000
N1 0.0000 0.0000 0.0000

***

# 2
This record from Alexandria via LeMat-Bulk describes a relaxed LiAlTeN2 crystal. The functional is PBE-GGA.

Output
The density of states at the Fermi level comes out at 3.4 states/eV/cell. As for the energy above the lowest structure with this stoichiometry: 0.0 meV per atom. The density comes out at 3.74 g cm⁻³. For the uncorrected formation energy, the calculation gives 0.529 eV per atom. The magnetic moment comes out at 1.1 Bohr magnetons per cell. As for the crystal system: tetragonal.

a = 3.7684 Å, b = 3.7684 Å, c = 5.9212 Å
α = 90.00°, β = 90.00°, γ = 90.00°
Positions (direct):
Te1 0.0000 0.0000 0.5000
Li1 0.5000 0.5000 0.5000
Al1 0.0000 0.0000 0.0000
N1 0.0000 0.5000 0.0000
N2 0.5000 0.0000 0.0000

***

# 3
This record from Alexandria via LeMat-Bulk describes a relaxed LiTi2AlN crystal. The functional is PBE-GGA.

Output
The density of states at the Fermi level comes out at 2.9 states/eV/cell. The density comes out at 3.52 g cm⁻³. For the uncorrected formation energy, the calculation gives -0.763 eV per atom. The magnetic moment comes out at 0.0 Bohr magnetons per cell. As for the crystal system: tetragonal.

a = 4.0939 Å, b = 4.0939 Å, c = 4.0382 Å
α = 90.00°, β = 90.00°, γ = 90.00°
Positions (direct):
N1 0.0000 0.0000 0.0000
Li1 0.0000 0.0000 0.5000
Al1 0.5000 0.5000 0.5000
Ti1 0.0000 0.5000 0.0000
Ti2 0.5000 0.0000 0.0000

***

# 4
This record from Alexandria via LeMat-Bulk describes a relaxed LiAl2TlN crystal. The functional is PBE-GGA.

Output
The density of states at the Fermi level comes out at 1.1 states/eV/cell. The density comes out at 6.31 g cm⁻³. For the uncorrected formation energy, the calculation gives -0.128 eV per atom. The magnetic moment comes out at 0.0 Bohr magnetons per cell. As for the crystal system: tetragonal.

a = 4.0639 Å, b = 4.0639 Å, c = 4.4471 Å
α = 90.00°, β = 90.00°, γ = 90.00°
Positions (direct):
Tl1 0.5000 0.5000 0.5000
Li1 0.0000 0.0000 0.5000
Al1 0.0000 0.5000 0.0000
Al2 0.5000 0.0000 0.0000
N1 0.0000 0.0000 0.0000

***

# 5
This record from Alexandria via LeMat-Bulk describes a relaxed Li2AlTlN crystal. The functional is PBE-GGA.

Output
The density of states at the Fermi level comes out at 1.0 states/eV/cell. The density comes out at 5.78 g cm⁻³. For the uncorrected formation energy, the calculation gives -0.327 eV per atom. The magnetic moment comes out at 0.0 Bohr magnetons per cell. As for the crystal system: tetragonal.

a = 4.4965 Å, b = 4.4965 Å, c = 3.6829 Å
α = 90.00°, β = 90.00°, γ = 90.00°
Positions (direct):
Tl1 0.5000 0.5000 0.5000
Li1 0.0000 0.5000 0.0000
Li2 0.5000 0.0000 0.0000
Al1 0.0000 0.0000 0.5000
N1 0.0000 0.0000 0.0000

***

# 6
This record from Alexandria via LeMat-Bulk describes a relaxed Li4U3AlN8 crystal. The functional is PBE-GGA.

Output
The density of states at the Fermi level comes out at 4.3 states/eV/cell. The density comes out at 7.44 g cm⁻³. For the uncorrected formation energy, the calculation gives -0.977 eV per atom. The magnetic moment comes out at 1.1 Bohr magnetons per cell. As for the crystal system: monoclinic.

a = 6.6932 Å, b = 6.3541 Å, c = 6.7101 Å
α = 121.75°, β = 119.92°, γ = 90.00°
Positions (direct):
Li1 0.5000 0.0000 0.0000
Li2 0.5000 0.0000 0.5000
Li3 0.0000 0.0000 0.0000
Li4 0.0000 0.0000 0.5000
U1 0.5000 0.5000 0.0000
U2 0.5000 0.5000 0.5000
U3 0.0000 0.5000 0.5000
Al1 0.0000 0.5000 0.0000
N1 0.2344 0.7067 0.9710
N2 0.2368 0.7089 0.4737
N3 0.2629 0.2871 0.5259
N4 0.7366 0.7067 0.9710
N5 0.2634 0.2933 0.0290
N6 0.7371 0.7129 0.4741
N7 0.7632 0.2911 0.5263
N8 0.7656 0.2933 0.0290

***

# 7
This record from Alexandria via LeMat-Bulk describes a relaxed LiY2AlN crystal. The functional is PBE-GGA.

Output
The density of states at the Fermi level comes out at 2.6 states/eV/cell. The density comes out at 3.88 g cm⁻³. For the uncorrected formation energy, the calculation gives -0.727 eV per atom. The magnetic moment comes out at 0.0 Bohr magnetons per cell. As for the crystal system: tetragonal.

a = 4.8015 Å, b = 4.8015 Å, c = 4.1883 Å
α = 90.00°, β = 90.00°, γ = 90.00°
Positions (direct):
Y1 0.0000 0.5000 0.0000
Y2 0.5000 0.0000 0.0000
Li1 0.0000 0.0000 0.5000
Al1 0.5000 0.5000 0.5000
N1 0.0000 0.0000 0.0000

***

# 8
This record from Alexandria via LeMat-Bulk describes a relaxed LiY12Al4N3 crystal. The functional is PBE-GGA.

Output
The density of states at the Fermi level comes out at 13.4 states/eV/cell. The density comes out at 4.36 g cm⁻³. For the uncorrected formation energy, the calculation gives -0.552 eV per atom. The magnetic moment comes out at 3.4 Bohr magnetons per cell. As for the crystal system: cubic.

a = 8.4568 Å, b = 8.4568 Å, c = 8.4568 Å
α = 109.47°, β = 109.47°, γ = 109.47°
Positions (direct):
Li1 0.0000 0.0000 0.0000
Y1 0.2500 0.5000 0.7500
Y2 0.7351 0.0000 0.7351
Y3 0.2649 0.0000 0.2649
Y4 0.7500 0.5000 0.2500
Y5 0.7351 0.7351 0.0000
Y6 0.2649 0.2649 0.0000
Y7 0.7500 0.2500 0.5000
Y8 0.2500 0.7500 0.5000
Y9 0.5000 0.2500 0.7500
Y10 0.0000 0.7351 0.7351
Y11 0.5000 0.7500 0.2500
Y12 0.0000 0.2649 0.2649
Al1 0.5000 0.5000 0.5000
Al2 0.0000 0.0000 0.5000
Al3 0.5000 0.0000 0.0000
Al4 0.0000 0.5000 0.0000
N1 0.5000 0.0000 0.5000
N2 0.5000 0.5000 0.0000
N3 0.0000 0.5000 0.5000

***

# 9
This record from Alexandria via LeMat-Bulk describes a relaxed NaLiAl4 crystal. The functional is PBE-GGA.

Output
Its energy relative to the elements is 0.024 eV/atom. The density of states at the Fermi level comes out at 4.8 states/eV/cell. The density comes out at 1.92 g cm⁻³. The magnetic moment comes out at 0.0 Bohr magnetons per cell. As for the crystal system: cubic.

a = 5.5199 Å, b = 5.5199 Å, c = 5.5199 Å
α = 60.00°, β = 60.00°, γ = 60.00°
Positions (direct):
Na1 0.2500 0.2500 0.2500
Al1 0.6250 0.6250 0.1250
Al2 0.6250 0.1250 0.6250
Al3 0.6250 0.6250 0.6250
Al4 0.1250 0.6250 0.6250
Li1 0.0000 0.0000 0.0000

***

# 10
This record from Alexandria via LeMat-Bulk describes a relaxed Na2LiAl crystal. The functional is PBE-GGA.

Output
Its energy relative to the elements is 0.264 eV/atom. The density of states at the Fermi level comes out at 2.0 states/eV/cell. The density comes out at 1.30 g cm⁻³. The magnetic moment comes out at 0.0 Bohr magnetons per cell. As for the crystal system: tetragonal.

a = 8.3204 Å, b = 8.3204 Å, c = 6.5857 Å
α = 50.82°, β = 50.82°, γ = 90.00°
Positions (direct):
Na1 0.6121 0.1250 0.2500
Na2 0.1379 0.6250 0.2500
Na3 0.3750 0.3879 0.7500
Na4 0.8750 0.8621 0.7500
Al1 0.0000 0.0000 0.0000
Al2 0.7500 0.2500 0.5000
Li1 0.5000 0.5000 0.0000
Li2 0.2500 0.7500 0.5000

***

# 11
This record from Alexandria via LeMat-Bulk describes a relaxed NaLi3Al crystal. The functional is PBE-GGA.

Output
Its energy relative to the elements is 0.206 eV/atom. The density of states at the Fermi level comes out at 4.4 states/eV/cell. As for the energy above the lowest structure with this stoichiometry: 0.0 meV per atom. The density comes out at 0.86 g cm⁻³. The magnetic moment comes out at 0.0 Bohr magnetons per cell. As for the crystal system: cubic.

a = 5.1502 Å, b = 5.1502 Å, c = 5.1502 Å
α = 90.00°, β = 90.00°, γ = 90.00°
Positions (direct):
Na1 0.5000 0.5000 0.5000
Al1 0.0000 0.0000 0.0000
Li1 0.0000 0.5000 0.0000
Li2 0.0000 0.0000 0.5000
Li3 0.5000 0.0000 0.0000

***

# 12
This record from Alexandria via LeMat-Bulk describes a relaxed Na2Li2Al crystal. The functional is PBE-GGA.

Output
Its energy relative to the elements is 0.274 eV/atom. The density of states at the Fermi level comes out at 3.2 states/eV/cell. As for the energy above the lowest structure with this stoichiometry: 132.4 meV per atom. The density comes out at 1.10 g cm⁻³. The magnetic moment comes out at 0.0 Bohr magnetons per cell. As for the crystal system: tetragonal.

a = 3.7396 Å, b = 3.7396 Å, c = 9.7518 Å
α = 78.95°, β = 78.95°, γ = 90.00°
Positions (direct):
Na1 0.3983 0.3983 0.2034
Na2 0.6017 0.6017 0.7966
Al1 0.0000 0.0000 0.0000
Li1 0.7500 0.2500 0.5000
Li2 0.2500 0.7500 0.5000